(1)
Crystalline K3ZnPt at its relaxed geometry, computed with PBE.

Unit cell a=6.182 b=6.182 c=6.182 alpha=90.00 beta=90.00 gamma=90.00
Element x y z (fractional)
Pt 0.000 0.000 0.000
K 0.500 0.000 0.000
K 0.000 0.000 0.500
K 0.000 0.500 0.000
Zn 0.500 0.500 0.500

Values from the calculation:
Crystal system = cubic
Density = 2.66 g/cm3
Volume = 236.2 Å³/f.u.
Energy of formation from the pure elements = 0.20 eV/atom
Space-group type = Pm-3m (221)

(2)
Crystalline KZrPt3 at its relaxed geometry, computed with PBE.

Unit cell a=4.857 b=4.857 c=4.857 alpha=90.00 beta=90.00 gamma=90.00
Element x y z (fractional)
Pt 0.500 0.000 0.000
Pt 0.000 0.500 0.000
Zr 0.500 0.500 0.500
Pt 0.000 0.000 0.500
K 0.000 0.000 0.000

Values from the calculation:
Crystal system = cubic
Density = 10.37 g/cm3
Volume = 114.6 Å³/f.u.
Energy of formation from the pure elements = 1.64 eV/atom
Space-group type = Pm-3m (221)

Please write out number 2 again, unchanged.
Crystalline KZrPt3 at its relaxed geometry, computed with PBE.

Unit cell a=4.857 b=4.857 c=4.857 alpha=90.00 beta=90.00 gamma=90.00
Element x y z (fractional)
Pt 0.500 0.000 0.000
Pt 0.000 0.500 0.000
Zr 0.500 0.500 0.500
Pt 0.000 0.000 0.500
K 0.000 0.000 0.000

Values from the calculation:
Crystal system = cubic
Density = 10.37 g/cm3
Volume = 114.6 Å³/f.u.
Energy of formation from the pure elements = 1.64 eV/atom
Space-group type = Pm-3m (221)